# YInRu PBE relaxed
data_YInRu
_chemical_formula_sum 'Y1 In1 Ru1'
_symmetry_space_group_name_H-M 'P 1'
_symmetry_Int_Tables_number 1
_cell_length_a 5.8067
_cell_length_b 5.8068
_cell_length_c 3.4639
_cell_angle_alpha 72.65
_cell_angle_beta 72.65
_cell_angle_gamma 34.71
loop_
_symmetry_equiv_pos_as_xyz
'x,y,z'
loop_
_atom_site_label
_atom_site_type_symbol
_atom_site_fract_x
_atom_site_fract_y
_atom_site_fract_z
_atom_site_occupancy
In1 In 0.9768 0.9768 0.0232 1
Y1 Y 0.6832 0.6832 0.3168 1
Ru1 Ru 0.3400 0.3400 0.6600 1
# Symmetry: No. 107
# Calculated formation energy, eV per atom: -0.29



# BaTb4 PBE relaxed
data_BaTb4
_chemical_formula_sum 'Ba1 Tb4'
_symmetry_space_group_name_H-M 'P 1'
_symmetry_Int_Tables_number 1
_cell_length_a 5.7207
_cell_length_b 5.7207
_cell_length_c 5.7207
_cell_angle_alpha 90.00
_cell_angle_beta 90.00
_cell_angle_gamma 90.00
loop_
_symmetry_equiv_pos_as_xyz
'x,y,z'
loop_
_atom_site_label
_atom_site_type_symbol
_atom_site_fract_x
_atom_site_fract_y
_atom_site_fract_z
_atom_site_occupancy
Tb1 Tb 0.5000 0.0000 0.5000 1
Tb2 Tb 0.5000 0.5000 0.0000 1
Tb3 Tb 0.0000 0.5000 0.5000 1
Tb4 Tb 0.0000 0.0000 0.0000 1
Ba1 Ba 0.5000 0.5000 0.5000 1
# Symmetry: No. 221
# Calculated formation energy, eV per atom: 0.91



# Be2FeSb PBE relaxed
data_Be2FeSb
_chemical_formula_sum 'Be2 Fe1 Sb1'
_symmetry_space_group_name_H-M 'P 1'
_symmetry_Int_Tables_number 1
_cell_length_a 4.1077
_cell_length_b 4.1077
_cell_length_c 4.1077
_cell_angle_alpha 60.00
_cell_angle_beta 60.00
_cell_angle_gamma 60.00
loop_
_symmetry_equiv_pos_as_xyz
'x,y,z'
loop_
_atom_site_label
_atom_site_type_symbol
_atom_site_fract_x
_atom_site_fract_y
_atom_site_fract_z
_atom_site_occupancy
Be1 Be 0.2500 0.2500 0.2500 1
Be2 Be 0.0000 0.0000 0.0000 1
Fe1 Fe 0.5000 0.5000 0.5000 1
Sb1 Sb 0.7500 0.7500 0.7500 1
# Symmetry: No. 216
# Formation energy without anion corrections, eV/atom: 0.476